! Sc2TeOs, relaxed, DFT PBE; values from VASP
&SYSTEM
  ibrav = 0, nat = 4, ntyp = 3
/
ATOMIC_SPECIES
Sc 44.96 Sc.upf
Te 127.60 Te.upf
Os 190.23 Os.upf
CELL_PARAMETERS angstrom
1.727 0.997 8.230
-1.727 0.997 8.230
0.000 -1.994 8.230
ATOMIC_POSITIONS crystal
Sc 0.241 0.241 0.241
Sc 0.759 0.759 0.759
Te 0.000 0.000 0.000
Os 0.500 0.500 0.500
! Formation energy (no corrections) = -136 kJ/mol of formula units
! Symmetry = No. 166

***

! PuHf2Zn, relaxed, DFT PBE; values from VASP
&SYSTEM
  ibrav = 0, nat = 4, ntyp = 3
/
ATOMIC_SPECIES
Pu 244.00 Pu.upf
Hf 178.49 Hf.upf
Zn 65.41 Zn.upf
CELL_PARAMETERS angstrom
1.603 0.926 9.616
-1.603 0.926 9.616
0.000 -1.851 9.616
ATOMIC_POSITIONS crystal
Pu 0.000 0.000 0.000
Hf 0.244 0.244 0.244
Hf 0.756 0.756 0.756
Zn 0.500 0.500 0.500
! DFT formation energy = 0.075 eV per atom
! Symmetry = No. 166
! Energy relative to the lowest polymorph listed for this composition = 107 meV per atom

***

! VSiOsRu, relaxed, DFT PBE; values from VASP
&SYSTEM
  ibrav = 0, nat = 4, ntyp = 4
/
ATOMIC_SPECIES
V 50.94 V.upf
Si 28.09 Si.upf
Os 190.23 Os.upf
Ru 101.07 Ru.upf
CELL_PARAMETERS angstrom
2.951 0.000 0.000
0.000 2.951 0.000
0.000 0.000 6.065
ATOMIC_POSITIONS crystal
V 0.000 0.000 0.000
Si 0.000 0.000 0.502
Os 0.500 0.500 0.263
Ru 0.500 0.500 0.735
! Formation energy (no corrections) = -168 kJ/mol of formula units
! Symmetry = No. 99

***

! B3PdS, relaxed, DFT PBE; values from VASP
&SYSTEM
  ibrav = 0, nat = 5, ntyp = 3
/
ATOMIC_SPECIES
B 10.81 B.upf
Pd 106.42 Pd.upf
S 32.06 S.upf
CELL_PARAMETERS angstrom
4.127 0.000 0.000
0.000 4.127 0.000
0.000 0.000 4.127
ATOMIC_POSITIONS crystal
B 0.000 0.000 0.500
B 0.000 0.500 0.000
B 0.500 0.000 0.000
Pd 0.000 0.000 0.000
S 0.500 0.500 0.500
! Formation energy (no corrections) = 707 kJ/mol of formula units
! Symmetry = No. 221
! Energy relative to the lowest polymorph listed for this composition = 0 meV per atom

***

! Ce2Pm3Tl7, relaxed, DFT PBE; values from VASP
&SYSTEM
  ibrav = 0, nat = 12, ntyp = 3
/
ATOMIC_SPECIES
Ce 140.12 Ce.upf
Pm 145.00 Pm.upf
Tl 204.38 Tl.upf
CELL_PARAMETERS angstrom
2.690 -12.583 0.000
2.690 12.583 0.000
0.000 0.000 5.636
ATOMIC_POSITIONS crystal
Ce 0.147 0.853 0.000
Ce 0.853 0.147 0.000
Pm 0.343 0.657 0.500
Pm 0.500 0.500 0.500
Pm 0.657 0.343 0.500
Tl 0.000 0.000 0.000
Tl 0.079 0.921 0.500
Tl 0.279 0.721 0.000
Tl 0.427 0.573 0.000
Tl 0.573 0.427 0.000
Tl 0.721 0.279 0.000
Tl 0.921 0.079 0.500
! DFT formation energy = -0.092 eV per atom
! Symmetry = No. 65

***

! TcPt8Rh6, relaxed, DFT PBE; values from VASP
&SYSTEM
  ibrav = 0, nat = 15, ntyp = 3
/
ATOMIC_SPECIES
Tc 98.00 Tc.upf
Pt 195.08 Pt.upf
Rh 102.91 Rh.upf
CELL_PARAMETERS angstrom
3.642 2.103 5.301
-3.642 2.103 5.301
0.000 -4.206 5.301
ATOMIC_POSITIONS crystal
Tc 0.000 0.000 0.000
Pt 0.143 0.406 0.836
Pt 0.164 0.857 0.594
Pt 0.254 0.254 0.254
Pt 0.406 0.836 0.143
Pt 0.594 0.164 0.857
Pt 0.746 0.746 0.746
Pt 0.836 0.143 0.406
Pt 0.857 0.594 0.164
Rh 0.080 0.663 0.366
Rh 0.337 0.634 0.920
Rh 0.366 0.080 0.663
Rh 0.634 0.920 0.337
Rh 0.663 0.366 0.080
Rh 0.920 0.337 0.634
! DFT formation energy = 0.224 eV per atom
! Symmetry = No. 148
! Energy relative to the lowest polymorph listed for this composition = 145 meV per atom

***

! NdZnPdPt, relaxed, DFT PBE; values from VASP
&SYSTEM
  ibrav = 0, nat = 4, ntyp = 4
/
ATOMIC_SPECIES
Nd 144.24 Nd.upf
Zn 65.41 Zn.upf
Pd 106.42 Pd.upf
Pt 195.08 Pt.upf
CELL_PARAMETERS angstrom
3.823 -2.211 0.000
3.823 2.211 0.000
-2.555 0.000 4.795
ATOMIC_POSITIONS crystal
Nd 0.000 0.000 0.000
Zn 0.495 0.495 0.484
Pd 0.211 0.211 0.633
Pt 0.786 0.786 0.359
! DFT formation energy = -0.814 eV per atom
! Symmetry = No. 8
! Energy relative to the lowest polymorph listed for this composition = 0 meV per atom

***

! In12Hg3Ge, relaxed, DFT PBE; values from VASP
&SYSTEM
  ibrav = 0, nat = 16, ntyp = 3
/
ATOMIC_SPECIES
In 114.82 In.upf
Hg 200.59 Hg.upf
Ge 72.64 Ge.upf
CELL_PARAMETERS angstrom
4.789 0.000 0.000
0.000 4.789 0.000
0.000 0.000 18.311
ATOMIC_POSITIONS crystal
In 0.000 0.000 0.000
In 0.000 0.000 0.244
In 0.000 0.000 0.500
In 0.000 0.000 0.756
In 0.000 0.500 0.118
In 0.000 0.500 0.374
In 0.000 0.500 0.626
In 0.000 0.500 0.882
In 0.500 0.000 0.118
In 0.500 0.000 0.374
In 0.500 0.000 0.626
In 0.500 0.000 0.882
Hg 0.500 0.500 0.248
Hg 0.500 0.500 0.500
Hg 0.500 0.500 0.752
Ge 0.500 0.500 0.000
! DFT formation energy = 0.043 eV per atom
! Symmetry = No. 123

***

! Tm2Al4PdPt3, relaxed, DFT PBE; values from VASP
&SYSTEM
  ibrav = 0, nat = 10, ntyp = 4
/
ATOMIC_SPECIES
Tm 168.93 Tm.upf
Al 26.98 Al.upf
Pd 106.42 Pd.upf
Pt 195.08 Pt.upf
CELL_PARAMETERS angstrom
4.085 0.000 0.000
0.000 4.085 0.000
0.000 0.000 10.923
ATOMIC_POSITIONS crystal
Tm 0.000 0.500 0.244
Tm 0.500 0.000 0.756
Al 0.000 0.000 0.000
Al 0.000 0.500 0.633
Al 0.500 0.000 0.367
Al 0.500 0.500 0.000
Pd 0.000 0.000 0.500
Pt 0.000 0.500 0.859
Pt 0.500 0.000 0.141
Pt 0.500 0.500 0.500
! DFT formation energy = -1.068 eV per atom
! Symmetry = No. 115

***

! Pr8ZnAs3I4, relaxed, DFT PBE; values from VASP
&SYSTEM
  ibrav = 0, nat = 16, ntyp = 4
/
ATOMIC_SPECIES
Pr 140.91 Pr.upf
Zn 65.41 Zn.upf
As 74.92 As.upf
I 126.90 I.upf
CELL_PARAMETERS angstrom
4.359 2.517 7.746
-4.359 2.517 7.746
0.000 -5.033 7.746
ATOMIC_POSITIONS crystal
Pr 0.232 0.232 0.232
Pr 0.237 0.732 0.732
Pr 0.268 0.268 0.763
Pr 0.268 0.763 0.268
Pr 0.732 0.237 0.732
Pr 0.732 0.732 0.237
Pr 0.763 0.268 0.268
Pr 0.768 0.768 0.768
Zn 0.500 0.500 0.500
As 0.000 0.000 0.500
As 0.000 0.500 0.000
As 0.500 0.000 0.000
I 0.000 0.000 0.000
I 0.000 0.500 0.500
I 0.500 0.000 0.500
I 0.500 0.500 0.000
! Formation energy (no corrections) = -1731 kJ/mol of formula units
! Symmetry = No. 166

***

! AgBiAsO5, relaxed, DFT PBE; values from VASP
&SYSTEM
  ibrav = 0, nat = 16, ntyp = 4
/
ATOMIC_SPECIES
Ag 107.87 Ag.upf
Bi 208.98 Bi.upf
As 74.92 As.upf
O 16.00 O.upf
CELL_PARAMETERS angstrom
3.803 -4.636 0.000
3.803 4.636 0.000
-3.536 0.000 7.197
ATOMIC_POSITIONS crystal
Ag 0.172 0.828 0.750
Ag 0.828 0.172 0.250
Bi 0.500 0.500 0.000
Bi 0.500 0.500 0.500
As 0.171 0.829 0.250
As 0.829 0.171 0.750
O 0.119 0.225 0.905
O 0.174 0.624 0.364
O 0.225 0.119 0.405
O 0.376 0.826 0.136
O 0.408 0.592 0.750
O 0.592 0.408 0.250
O 0.624 0.174 0.864
O 0.775 0.881 0.595
O 0.826 0.376 0.636
O 0.881 0.775 0.095
! Formation energy (no corrections) = -714 kJ/mol of formula units
! Symmetry = No. 15

***

! Zn2Ga2Tc, relaxed, DFT PBE; values from VASP
&SYSTEM
  ibrav = 0, nat = 10, ntyp = 3
/
ATOMIC_SPECIES
Zn 65.41 Zn.upf
Ga 69.72 Ga.upf
Tc 98.00 Tc.upf
CELL_PARAMETERS angstrom
6.773 0.000 0.000
0.000 6.773 0.000
0.000 0.000 3.349
ATOMIC_POSITIONS crystal
Zn 0.129 0.371 0.000
Zn 0.371 0.871 0.000
Zn 0.629 0.129 0.000
Zn 0.871 0.629 0.000
Ga 0.175 0.675 0.500
Ga 0.325 0.175 0.500
Ga 0.675 0.825 0.500
Ga 0.825 0.325 0.500
Tc 0.000 0.000 0.000
Tc 0.500 0.500 0.000
! DFT formation energy = 0.254 eV per atom
! Symmetry = No. 127
! Energy relative to the lowest polymorph listed for this composition = 309 meV per atom